The following is a GGA-PBE calculation of Sr2ScAs after structural relaxation, from Alexandria.

Output
Raw total energy, eV/atom: -3.77
Symmetry: P2/m

```
Sr2ScAs
1.0
-5.976 2.051 -5.729
0.357 -4.368 2.486
-4.567 0.200 1.010
Sc Sr As
1 2 1
direct
0.500 0.500 0.000
0.500 0.000 0.500
0.000 0.000 0.000
0.000 0.500 0.500
```